# 1
Ce3Ga2Co2P3 | PBE | relaxed

abc: 4.136 4.136 12.122
angles: 99.82 99.82 90.00
Last column: magnetic moment on the atom in μB.
Positions (direct):
P 0.885 0.885 0.771  -0.01
P 0.500 0.500 0.000  0.00
P 0.115 0.115 0.229  -0.01
Co 0.797 0.797 0.595  -0.01
Co 0.203 0.203 0.405  -0.01
Ce 0.371 0.371 0.741  0.58
Ce 0.000 0.000 0.000  -0.20
Ce 0.629 0.629 0.259  0.58
Ga 0.250 0.750 0.500  0.01
Ga 0.750 0.250 0.500  0.01

Magnetization = 1.097 μB per cell
Space group = No. 139
Formation energy = -0.919 eV/atom
Calculated total energy = -6.35 eV/atom


# 2
Ti3MoAs | PBE | relaxed

abc: 4.606 4.606 4.606
angles: 90.00 90.00 90.00
Positions (direct):
Mo 0.500 0.500 0.500
Ti 0.000 0.000 0.500
Ti 0.000 0.500 0.000
Ti 0.500 0.000 0.000
As 0.000 0.000 0.000

Magnetization = 0.000 μB per cell
Space group = No. 221
Formation energy = 0.479 eV/atom
Calculated total energy = -7.35 eV/atom


# 3
TlPbAu5 | PBE | relaxed

abc: 5.663 9.691 11.588
angles: 90.00 90.00 90.00
Positions (direct):
Au 0.750 0.344 0.769
Au 0.750 0.472 0.994
Au 0.502 0.899 0.303
Au 0.002 0.101 0.697
Au 0.998 0.399 0.197
Au 0.250 0.156 0.269
Au 0.250 0.916 0.086
Au 0.998 0.899 0.303
Au 0.498 0.601 0.803
Au 0.750 0.844 0.731
Au 0.250 0.028 0.494
Au 0.250 0.416 0.414
Au 0.250 0.528 0.006
Au 0.502 0.399 0.197
Au 0.750 0.972 0.506
Au 0.750 0.084 0.914
Au 0.002 0.601 0.803
Au 0.498 0.101 0.697
Au 0.250 0.656 0.231
Au 0.750 0.584 0.586
Pb 0.250 0.874 0.842
Pb 0.750 0.126 0.158
Pb 0.250 0.374 0.658
Pb 0.750 0.626 0.342
Tl 0.250 0.719 0.536
Tl 0.250 0.219 0.964
Tl 0.750 0.281 0.464
Tl 0.750 0.781 0.036

Magnetization = 0.000 μB per cell
Space group = No. 62
Formation energy = -0.005 eV/atom
Calculated total energy = -3.21 eV/atom


# 4
Th6Tl3TeC2 | PBE | relaxed

abc: 3.853 9.686 10.125
angles: 112.76 100.97 90.00
Positions (direct):
Th 0.316 0.459 0.632
Th 0.037 0.269 0.074
Th 0.963 0.731 0.926
Th 0.672 0.160 0.345
Th 0.328 0.840 0.655
Th 0.684 0.541 0.368
C 0.174 0.338 0.348
C 0.826 0.662 0.652
Tl 0.843 0.168 0.686
Tl 0.500 0.500 0.000
Tl 0.157 0.832 0.314
Te 0.500 0.000 0.000

Magnetization = 0.000 μB per cell
Space group = No. 12
Calculated total energy = -6.41 eV/atom
Energy relative to the elements, uncorrected = -3.71 eV/f.u.


# 5
AlCoSi2 | PBE | relaxed

abc: 4.188 4.188 4.188
angles: 60.00 60.00 60.00
Positions (direct):
Si 0.000 0.000 0.000
Si 0.750 0.750 0.750
Al 0.500 0.500 0.500
Co 0.250 0.250 0.250

Magnetization = 0.000 μB per cell
Space group = No. 216
Calculated total energy = -5.30 eV/atom
Energy relative to the elements, uncorrected = 0.49 eV/f.u.


# 6
HfVCr | PBE | relaxed

abc: 5.087 5.087 5.087
angles: 90.36 118.36 121.25
Positions (direct):
Cr 0.500 0.000 0.500
Cr 0.000 0.500 0.500
V 0.500 0.500 0.500
V 0.000 0.500 0.000
Hf 0.750 0.877 0.127
Hf 0.250 0.123 0.873

Magnetization = 0.000 μB per cell
Space group = No. 74
Formation energy = -0.073 eV/atom
Calculated total energy = -9.64 eV/atom


Q: The highest calculated total energy belongs to which entry?
A: TlPbAu5


Q: Number 3 is which compound?
A: TlPbAu5